Record 1
Compound: Cs3RbB
Source: the Alexandria database
Functional: PBE
Structure: relaxed

- total energy (eV/atom) = -0.74
- ΔH_f (0 K) (eV/atom) = 1.31
- DOS(E_F) (states/eV/atom) = 5.372
- ΔE to the lowest computed polymorph (meV/atom) = 560.6
- volume (Å³ per cell) = 637.0
- size of the total moment (μB per atom) = 0.369

```
Cs3RbB
1.0
-1.527 5.356 -6.558
-8.089 1.048 2.739
2.504 6.652 4.850
Cs Rb B
3 1 1
Direct
0.500 0.000 0.000 Cs
0.000 0.000 0.500 Cs
0.000 0.500 0.000 Cs
0.000 0.000 0.000 Rb
0.500 0.500 0.500 B
```

Record 2
Compound: Mn2CdPb
Source: the Alexandria database
Functional: PBE
Structure: relaxed

- total energy (eV/atom) = -5.28
- ΔH_f (0 K) (eV/atom) = 0.46
- DOS(E_F) (states/eV/atom) = 0.643
- volume (Å³ per cell) = 81.0
- size of the total moment (μB per atom) = 1.835

```
Mn2CdPb
1.0
-1.945 4.421 1.062
-3.961 2.834 -0.852
-3.211 -1.182 4.362
Pb Cd Mn
1 1 2
Direct
0.750 0.750 0.750 Pb
0.250 0.250 0.250 Cd
0.501 0.501 0.469 Mn
0.999 0.999 0.031 Mn
```